Density functional theory data (GGA-PBE) for a relaxed structure of Tm3Al2Cd3.

symmetry = Cmcm (63)
energy of formation from the pure elements = -222 kJ/mol of formula units

Lattice parameters (Å, degrees): 4.5696 5.9097 15.1472 90.00 90.00 112.74
Element x y z (fractional)
Tm  0.9167  0.8333  0.3885
Tm  0.0833  0.1667  0.8885
Tm  0.9167  0.8333  0.1115
Tm  0.0833  0.1667  0.6115
Tm  0.6455  0.2910  0.2500
Tm  0.3545  0.7090  0.7500
Al  0.7938  0.5876  0.8905
Al  0.2062  0.4124  0.3905
Al  0.7938  0.5876  0.6095
Al  0.2062  0.4124  0.1095
Cd  0.6217  0.2434  0.4637
Cd  0.3783  0.7566  0.9637
Cd  0.6217  0.2434  0.0363
Cd  0.3783  0.7566  0.5363
Cd  0.3623  0.7246  0.2500
Cd  0.6377  0.2754  0.7500



Density functional theory data (GGA-PBE) for a relaxed structure of ScUSnO6.

symmetry = P-31c (163)

Lattice parameters (Å, degrees): 5.4928 5.4928 9.0338 90.00 90.00 120.00
Last column: magnetic moment on the atom in μB.
Element x y z (fractional)
Sc  0.3333  0.6667  0.2500  0.01
Sc  0.6667  0.3333  0.7500  0.01
U  0.6667  0.3333  0.2500  1.04
U  0.3333  0.6667  0.7500  1.04
Sn  0.0000  0.0000  0.0000  0.01
Sn  0.0000  0.0000  0.5000  0.01
O  0.6706  0.6732  0.1288  -0.02
O  0.0026  0.3294  0.1288  -0.02
O  0.3294  0.0026  0.6288  -0.02
O  0.9974  0.6706  0.8712  -0.02
O  0.3268  0.3294  0.3712  -0.02
O  0.0026  0.6732  0.3712  -0.02
O  0.6732  0.0026  0.8712  -0.02
O  0.6706  0.9974  0.3712  -0.02
O  0.9974  0.3268  0.6288  -0.02
O  0.3268  0.9974  0.1288  -0.02
O  0.6732  0.6706  0.6288  -0.02
O  0.3294  0.3268  0.8712  -0.02



E_tot, record by record: -3.24, -8.37 eV/atom